Here is BaFe3H after structural relaxation from the Alexandria database. Energies are from GGA-PBE.

Lattice parameters (Å, degrees): 5.0290 5.0290 5.0290 90.00 90.00 90.00
With the nearest neighbours (Å) after each atom.
Space group Pm-3m (No. 221)
Unique sites:
Ba1 0.0000 0.0000 0.0000 (multiplicity 1)  6 Fe 2.51
Fe1 0.0000 0.0000 0.5000 (multiplicity 3)  2 Ba 2.51
H1 0.5000 0.5000 0.5000 (multiplicity 1)  12 Fe 3.56

Output
DFT total energy: -3.32 eV per atom
polymorph energy (0 for the lowest one): 1894.3 meV per atom